# 1
RuRhW2, optimized geometry, DFT PBE; formation enthalpy at 0 K = 256 kJ/mol of formula units; energy above the most stable polymorph in this dataset = 742.4 meV/atom
1.0
-3.482 3.482 2.721
3.482 -3.482 2.721
3.482 3.482 -2.721
Ru Rh W
2 2 4
direct
0.000 0.000 0.000
0.750 0.250 0.500
0.250 0.750 0.500
0.500 0.500 0.000
0.118 0.125 0.493
0.375 0.882 0.007
0.632 0.625 0.507
0.875 0.368 0.993



# 2
La2NdMn6Si6, optimized geometry, DFT PBE; formation energy (no corrections) = -52.9 kJ/mol of atoms
1.0
-1.997 1.997 15.909
1.997 -1.997 15.909
1.997 1.997 -15.909
La Nd Mn Si
2 1 6 6
direct
0.166 0.166 0.000
0.834 0.834 0.000
0.500 0.500 0.000
0.082 0.582 0.500
0.250 0.750 0.500
0.418 0.918 0.500
0.582 0.082 0.500
0.750 0.250 0.500
0.918 0.418 0.500
0.041 0.041 0.000
0.291 0.291 0.000
0.377 0.377 0.000
0.623 0.623 0.000
0.709 0.709 0.000
0.959 0.959 0.000



# 3
BaSrMgFe2, optimized geometry, DFT PBE; formation enthalpy at 0 K = 755 kJ/mol of formula units
1.0
5.287 0.000 0.000
0.000 5.287 0.000
0.000 0.000 6.200
Ba Sr Mg Fe
1 1 1 2
direct
0.000 0.000 0.000
0.000 0.000 0.500
0.500 0.500 0.000
0.000 0.500 0.500
0.500 0.000 0.500



# 4
Nd2AgGe, optimized geometry, DFT PBE; formation enthalpy at 0 K = -187 kJ/mol of formula units
1.0
5.192 0.000 0.000
0.000 5.192 0.000
0.000 0.000 3.815
Nd Ag Ge
2 1 1
direct
0.000 0.500 0.000
0.500 0.000 0.000
0.000 0.000 0.500
0.500 0.500 0.500



# 5
CdPtAu3, optimized geometry, DFT PBE; formation enthalpy at 0 K = -14 kJ/mol of formula units; energy above the most stable polymorph in this dataset = 50.5 meV/atom
1.0
4.754 -4.918 0.000
4.754 4.918 0.000
0.000 0.000 8.453
Cd Pt Au
4 4 12
direct
0.217 0.783 0.905
0.283 0.717 0.405
0.717 0.283 0.595
0.783 0.217 0.095
0.120 0.380 0.250
0.380 0.120 0.750
0.620 0.880 0.250
0.880 0.620 0.750
0.003 0.997 0.673
0.114 0.359 0.916
0.141 0.386 0.584
0.359 0.114 0.084
0.386 0.141 0.416
0.497 0.503 0.173
0.503 0.497 0.827
0.614 0.859 0.584
0.641 0.886 0.916
0.859 0.614 0.416
0.886 0.641 0.084
0.997 0.003 0.327



# 6
Pm6HoTm2Sc, optimized geometry, DFT PBE; formation enthalpy at 0 K = 123 kJ/mol of formula units
1.0
4.606 -7.580 0.000
4.606 7.580 0.000
-1.036 0.000 9.299
Pm Ho Tm Sc
12 2 4 2
direct
0.007 0.442 0.806
0.121 0.768 0.552
0.232 0.879 0.948
0.290 0.514 0.387
0.442 0.007 0.306
0.486 0.710 0.113
0.514 0.290 0.887
0.558 0.993 0.694
0.710 0.486 0.613
0.768 0.121 0.052
0.879 0.232 0.448
0.993 0.558 0.194
0.027 0.973 0.250
0.973 0.027 0.750
0.205 0.303 0.049
0.303 0.205 0.549
0.697 0.795 0.451
0.795 0.697 0.951
0.420 0.580 0.750
0.580 0.420 0.250



# 7
Be3VI, optimized geometry, DFT PBE; energy above the most stable polymorph in this dataset = 0.0 meV/atom; formation energy (no corrections) = 152.6 kJ/mol of atoms
1.0
4.502 0.000 0.000
0.000 4.502 0.000
0.000 0.000 4.502
Be V I
3 1 1
direct
0.000 0.000 0.500
0.000 0.500 0.000
0.500 0.000 0.000
0.000 0.000 0.000
0.500 0.500 0.500



# 8
Li6Pd12Pb, optimized geometry, DFT PBE; formation enthalpy at 0 K = -384 kJ/mol of formula units
1.0
5.790 3.343 2.656
-5.790 3.343 2.656
0.000 -6.685 2.656
Li Pd Pb
6 12 1
direct
0.025 0.421 0.298
0.298 0.025 0.421
0.421 0.298 0.025
0.579 0.702 0.975
0.702 0.975 0.579
0.975 0.579 0.702
0.013 0.312 0.911
0.089 0.987 0.688
0.223 0.370 0.667
0.312 0.911 0.013
0.333 0.777 0.630
0.370 0.667 0.223
0.630 0.333 0.777
0.667 0.223 0.370
0.688 0.089 0.987
0.777 0.630 0.333
0.911 0.013 0.312
0.987 0.688 0.089
0.500 0.500 0.500



Question: What is the formula in the second record?
Answer: La2NdMn6Si6